DFT (PBE) results for crystalline K5Rb2Na at its relaxed geometry.

Calculated values
- total DFT energy (no corrections) (eV/atom) = -1.080

Geometry as POSCAR:
```
K5Rb2Na
1.0
11.573 0.000 0.000
0.000 20.173 0.000
0.000 0.000 4.906
K Rb Na
10 4 2
Direct
0.000 0.000 0.000 K
0.002 0.232 0.000 K
0.215 0.618 0.500 K
0.285 0.118 0.500 K
0.498 0.732 0.000 K
0.500 0.500 0.000 K
0.502 0.268 0.000 K
0.715 0.882 0.500 K
0.785 0.382 0.500 K
0.998 0.768 0.000 K
0.217 0.381 0.500 Rb
0.283 0.881 0.500 Rb
0.717 0.119 0.500 Rb
0.783 0.619 0.500 Rb
0.000 0.500 0.000 Na
0.500 0.000 0.000 Na
```

---

DFT (PBE) results for crystalline Fe3BiAu at its relaxed geometry.

Calculated values
- total DFT energy (no corrections) (eV/atom) = -5.430

Geometry as POSCAR:
```
Fe3BiAu
1.0
4.797 0.000 0.000
0.000 4.797 0.000
0.000 0.000 4.797
Fe Bi Au
3 1 1
Direct
0.000 0.000 0.500 Fe
0.000 0.500 0.000 Fe
0.500 0.000 0.000 Fe
0.500 0.500 0.500 Bi
0.000 0.000 0.000 Au
```

---

DFT (PBE) results for crystalline BaSc2In at its relaxed geometry.

Calculated values
- total DFT energy (no corrections) (eV/atom) = -4.336

Geometry as POSCAR:
```
BaSc2In
1.0
3.546 0.000 0.000
0.000 3.546 0.000
0.000 0.000 9.602
Ba Sc In
1 2 1
Direct
0.000 0.000 0.000 Ba
0.500 0.500 0.311 Sc
0.500 0.500 0.689 Sc
0.000 0.000 0.500 In
```

---

DFT (PBE) results for crystalline Sc2PaRu4 at its relaxed geometry.

Calculated values
- total DFT energy (no corrections) (eV/atom) = -8.618

Geometry as POSCAR:
```
Sc2PaRu4
1.0
-3.222 3.222 3.100
3.222 -3.222 3.100
3.222 3.222 -3.100
Sc Pa Ru
2 1 4
Direct
0.000 0.500 0.500 Sc
0.500 0.000 0.500 Sc
0.000 0.000 0.000 Pa
0.000 0.000 0.500 Ru
0.000 0.500 0.000 Ru
0.500 0.000 0.000 Ru
0.500 0.500 0.500 Ru
```